(1)
## Nd3AsBr7 (GGA-PBE)

Data for an optimized crystal structure of Nd3AsBr7.

Computed properties:
Formation energy from raw total energies = -1.595 eV/atom
Total energy = -4.382 eV per atom

Cell lengths 8.824, 8.824, 6.719 Å; angles 90.00, 90.00, 120.00 degrees
Fractional positions:
Nd: 0.007 0.503 0.000
Nd: 0.497 0.503 0.000
Nd: 0.497 0.993 0.000
As: 0.333 0.667 0.222
Br: 0.180 0.359 0.754
Br: 0.180 0.820 0.754
Br: 0.351 0.176 0.222
Br: 0.641 0.820 0.754
Br: 0.667 0.333 0.750
Br: 0.824 0.176 0.222
Br: 0.824 0.649 0.222

---

(2)
## Ta4MnNb (GGA-PBE)

Data for an optimized crystal structure of Ta4MnNb.

Computed properties:
Total energy = -11.166 eV per atom
Energy of formation = -0.06 eV/atom
Relative energy among the computed polymorphs = 0 meV/atom
D(E_F) = 4.784 states/eV/cell

Cell lengths 3.199, 3.199, 9.956 Å; angles 90.00, 90.00, 90.00 degrees
Fractional positions:
Ta: 0.000 0.000 0.150
Ta: 0.000 0.000 0.850
Ta: 0.500 0.500 0.328
Ta: 0.500 0.500 0.672
Mn: 0.500 0.500 0.000
Nb: 0.000 0.000 0.500

---

(3)
## ReAsW2 (GGA-PBE)

Data for an optimized crystal structure of ReAsW2.

Computed properties:
Total energy = -10.428 eV per atom
Energy of formation = 0.32 eV/atom
D(E_F) = 2.872 states/eV/cell

Cell lengths 4.846, 4.846, 4.644 Å; angles 104.19, 104.19, 36.86 degrees
Fractional positions:
Re: 0.000 0.000 0.000
As: 0.754 0.754 0.333
W: 0.264 0.264 0.852
W: 0.499 0.499 0.495

---

(4)
## TlBi2Te2 (GGA-PBE)

Data for an optimized crystal structure of TlBi2Te2.

Computed properties:
Formation energy from raw total energies = -0.043 eV/atom
Total energy = -3.326 eV per atom
Relative energy among the computed polymorphs = 26 meV/atom
D(E_F) = 4.800 states/eV/cell

Cell lengths 8.865, 8.865, 4.264 Å; angles 90.00, 90.00, 90.00 degrees
Fractional positions:
Tl: 0.000 0.000 0.000
Tl: 0.500 0.500 0.000
Bi: 0.152 0.348 0.000
Bi: 0.348 0.848 0.000
Bi: 0.652 0.152 0.000
Bi: 0.848 0.652 0.000
Te: 0.172 0.672 0.500
Te: 0.328 0.172 0.500
Te: 0.672 0.828 0.500
Te: 0.828 0.328 0.500

---

(5)
## Ni2Pt (GGA-PBE)

Data for an optimized crystal structure of Ni2Pt.

Computed properties:
Total energy = -5.897 eV per atom
Energy of formation = -0.03 eV/atom
D(E_F) = 19.744 states/eV/cell

Cell lengths 6.344, 2.677, 8.993 Å; angles 90.00, 91.38, 90.00 degrees
Fractional positions:
Ni: 0.002 0.250 0.384
Ni: 0.007 0.750 0.139
Ni: 0.314 0.250 0.698
Ni: 0.333 0.750 0.471
Ni: 0.667 0.250 0.529
Ni: 0.686 0.750 0.302
Ni: 0.993 0.250 0.861
Ni: 0.998 0.750 0.616
Pt: 0.314 0.750 0.952
Pt: 0.338 0.250 0.228
Pt: 0.662 0.750 0.772
Pt: 0.686 0.250 0.048

---

(6)
## SrCdIn2Au2 (GGA-PBE)

Data for an optimized crystal structure of SrCdIn2Au2.

Computed properties:
Total energy = -2.857 eV per atom
Energy of formation = -0.42 eV/atom
D(E_F) = 2.586 states/eV/cell

Cell lengths 4.831, 4.831, 7.362 Å; angles 90.00, 90.00, 120.00 degrees
Fractional positions:
Sr: 0.000 0.000 0.000
Cd: 0.000 0.000 0.500
In: 0.333 0.667 0.711
In: 0.667 0.333 0.289
Au: 0.333 0.667 0.285
Au: 0.667 0.333 0.715